Entry 1:
This record from Alexandria describes a geometry-optimized FeB2AsPb structure. The functional is PBE-GGA.

Cell: 3.983 3.983 4.962 Å, 90.00 90.00 90.00°
Positions (direct):
Fe 0.000 0.000 0.000
B 0.000 0.500 0.000
B 0.500 0.000 0.000
As 0.000 0.000 0.500
Pb 0.500 0.500 0.500

Values from the calculation:
Spin magnetization = 0.002 μB/cell
Space group = P4/mmm, No. 123
E_tot = -5.228 eV per atom
DFT formation energy = 4.0 eV/f.u.

=====

Entry 2:
This record from Alexandria describes a geometry-optimized Fe2BAsPt structure. The functional is PBE-GGA.

Cell: 4.458 4.458 3.857 Å, 90.00 90.00 90.00°
Positions (direct):
Fe 0.000 0.500 0.000
Fe 0.500 0.000 0.000
B 0.000 0.000 0.500
As 0.000 0.000 0.000
Pt 0.500 0.500 0.500

Values from the calculation:
Spin magnetization = 5.259 μB/cell
Space group = P4/mmm, No. 123
E_tot = -5.702 eV per atom
DFT formation energy = 5.8 eV/f.u.

=====

Entry 3:
This record from Alexandria describes a geometry-optimized FeB2SbAs structure. The functional is PBE-GGA.

Cell: 4.379 4.379 5.033 Å, 90.00 90.00 90.00°
Positions (direct):
Fe 0.000 0.000 0.000
B 0.000 0.500 0.500
B 0.500 0.000 0.500
Sb 0.000 0.000 0.500
As 0.500 0.500 0.000

Values from the calculation:
Formation energy from raw total energies = 1.92 eV per atom
Spin magnetization = 3.037 μB/cell
Space group = P4/mmm, No. 123
E_tot = -4.201 eV per atom

=====

Entry 4:
This record from Alexandria describes a geometry-optimized FeBAsSe2 structure. The functional is PBE-GGA.

Cell: 4.401 4.401 4.169 Å, 90.00 90.00 90.00°
Positions (direct):
Fe 0.000 0.000 0.000
B 0.500 0.500 0.500
As 0.500 0.500 0.000
Se 0.000 0.500 0.500
Se 0.500 0.000 0.500

Values from the calculation:
Formation energy from raw total energies = 1.10 eV per atom
Spin magnetization = 0.001 μB/cell
Space group = P4/mmm, No. 123
E_tot = -4.251 eV per atom